Entry 1:
# ScPbF GGA-PBE optimized geometry
# crystal system	triclinic
# formation energy from raw total energies	-1.66	eV/atom
data_ScPbF
_chemical_formula_sum 'Sc2 Pb2 F2'
_cell_length_a 4.8651
_cell_length_b 5.7034
_cell_length_c 5.8643
_cell_angle_alpha 66.38
_cell_angle_beta 68.16
_cell_angle_gamma 85.90
_space_group_name_H-M_alt 'P 1'
_space_group_IT_number 1
_space_group_name_Hall 'P 1'
loop_
_atom_site_label
_atom_site_fract_x
_atom_site_fract_y
_atom_site_fract_z
Sc1 0.0000 0.0000 0.0000
Sc2 0.5000 0.5000 0.5000
Pb1 0.1603 0.3784 0.2003
Pb2 0.8397 0.6216 0.7997
F1 0.4126 0.1116 0.7095
F2 0.5874 0.8884 0.2905

---

Entry 2:
# ScPbF2 GGA-PBE optimized geometry
# crystal system	tetragonal
# energy above the lowest structure with this stoichiometry	104	meV/atom
# formation energy from raw total energies	-2.17	eV/atom
data_ScPbF2
_chemical_formula_sum 'Sc2 Pb2 F4'
_cell_length_a 7.0800
_cell_length_b 7.0800
_cell_length_c 7.0800
_cell_angle_alpha 135.42
_cell_angle_beta 135.42
_cell_angle_gamma 64.88
_space_group_name_H-M_alt 'P 1'
_space_group_IT_number 1
_space_group_name_Hall 'P 1'
loop_
_atom_site_label
_atom_site_fract_x
_atom_site_fract_y
_atom_site_fract_z
Sc1 0.0000 0.0000 0.0000
Sc2 0.7500 0.2500 0.5000
Pb1 0.2500 0.7500 0.5000
Pb2 0.5000 0.5000 0.0000
F1 0.3750 0.1322 0.2572
F2 0.8678 0.1250 0.2428
F3 0.8750 0.1178 0.7428
F4 0.8822 0.6250 0.7572

---

Entry 3:
# ScPb3F GGA-PBE optimized geometry
# crystal system	cubic
# energy above the lowest structure with this stoichiometry	0	meV/atom
# formation energy from raw total energies	-0.53	eV/atom
data_ScPb3F
_chemical_formula_sum 'Sc1 Pb3 F1'
_cell_length_a 5.0475
_cell_length_b 5.0475
_cell_length_c 5.0475
_cell_angle_alpha 90.00
_cell_angle_beta 90.00
_cell_angle_gamma 90.00
_space_group_name_H-M_alt 'P 1'
_space_group_IT_number 1
_space_group_name_Hall 'P 1'
loop_
_atom_site_label
_atom_site_fract_x
_atom_site_fract_y
_atom_site_fract_z
Sc1 0.0000 0.0000 0.0000
Pb1 0.0000 0.5000 0.5000
Pb2 0.5000 0.0000 0.5000
Pb3 0.5000 0.5000 0.0000
F1 0.5000 0.5000 0.5000

---

Entry 4:
# ScPbF4 GGA-PBE optimized geometry
# crystal system	monoclinic
# formation energy from raw total energies	-3.06	eV/atom
data_ScPbF4
_chemical_formula_sum 'Sc2 Pb2 F8'
_cell_length_a 7.0316
_cell_length_b 7.0316
_cell_length_c 6.3618
_cell_angle_alpha 116.78
_cell_angle_beta 116.78
_cell_angle_gamma 82.93
_space_group_name_H-M_alt 'P 1'
_space_group_IT_number 1
_space_group_name_Hall 'P 1'
loop_
_atom_site_label
_atom_site_fract_x
_atom_site_fract_y
_atom_site_fract_z
Sc1 0.0261 0.9739 0.7500
Sc2 0.9739 0.0261 0.2500
Pb1 0.4433 0.5567 0.2500
Pb2 0.5567 0.4433 0.7500
F1 0.1388 0.8609 0.0302
F2 0.1391 0.8612 0.4698
F3 0.1927 0.2780 0.4847
F4 0.2780 0.1927 0.9847
F5 0.7220 0.8073 0.0153
F6 0.8073 0.7220 0.5153
F7 0.8609 0.1388 0.5302
F8 0.8612 0.1391 0.9698

---

Entry 5:
# Sc2PbF GGA-PBE optimized geometry
# crystal system	trigonal
# energy above the lowest structure with this stoichiometry	405	meV/atom
# formation energy from raw total energies	-0.91	eV/atom
data_Sc2PbF
_chemical_formula_sum 'Sc2 Pb1 F1'
_cell_length_a 8.7034
_cell_length_b 8.7034
_cell_length_c 8.7034
_cell_angle_alpha 22.99
_cell_angle_beta 22.99
_cell_angle_gamma 22.99
_space_group_name_H-M_alt 'P 1'
_space_group_IT_number 1
_space_group_name_Hall 'P 1'
loop_
_atom_site_label
_atom_site_fract_x
_atom_site_fract_y
_atom_site_fract_z
Sc1 0.1163 0.1163 0.1163
Sc2 0.8837 0.8837 0.8837
Pb1 0.0000 0.0000 0.0000
F1 0.5000 0.5000 0.5000

---

Entry 6:
# ScPbF3 GGA-PBE optimized geometry
# crystal system	cubic
# energy above the lowest structure with this stoichiometry	936	meV/atom
# formation energy from raw total energies	-1.56	eV/atom
data_ScPbF3
_chemical_formula_sum 'Sc1 Pb1 F3'
_cell_length_a 4.7924
_cell_length_b 4.7924
_cell_length_c 4.7924
_cell_angle_alpha 90.00
_cell_angle_beta 90.00
_cell_angle_gamma 90.00
_space_group_name_H-M_alt 'P 1'
_space_group_IT_number 1
_space_group_name_Hall 'P 1'
loop_
_atom_site_label
_atom_site_fract_x
_atom_site_fract_y
_atom_site_fract_z
Sc1 0.0000 0.0000 0.0000
Pb1 0.5000 0.5000 0.5000
F1 0.0000 0.5000 0.5000
F2 0.5000 0.0000 0.5000
F3 0.5000 0.5000 0.0000

---

no.,raw total energy (eV/atom),DOS at the Fermi energy (states/eV/atom)
1,-5.632,0.15
2,-5.617,1.59
3,-4.394,0.90
4,-5.983,0.27
5,-5.469,1.00
6,-4.694,0.63